[1]
NdGeBi after structural relaxation, computed with PBE.

CIF file:
```
data_NdGeBi
_symmetry_space_group_name_H-M 'P 3 m 1'
_symmetry_Int_Tables_number 156
_cell_length_a 4.9491
_cell_length_b 4.9491
_cell_length_c 4.0565
_cell_angle_alpha 90.00
_cell_angle_beta 90.00
_cell_angle_gamma 120.00
loop_
_symmetry_equiv_pos_as_xyz
'x,y,z'
'-y,x-y,z'
'-x+y,-x,z'
'-y,-x,z'
'-x+y,y,z'
'x,x-y,z'
loop_
_atom_site_label
_atom_site_type_symbol
_atom_site_fract_x
_atom_site_fract_y
_atom_site_fract_z
_atom_site_occupancy
Nd1 Nd 0.0000 0.0000 0.0000 1
Ge1 Ge 0.3333 0.6667 0.4641 1
Bi1 Bi 0.6667 0.3333 0.5122 1
```

Values from the calculation:
DFT formation energy (meV/atom): -375.0
Polymorph energy (0 for the lowest one) (meV per atom): 282
Calculated volume (Å³/f.u.): 86.0
Total moment (μB per cell): 0.000
VASP energy (eV per atom): -4.797



[2]
BaSi2Tc after structural relaxation, computed with PBE.

CIF file:
```
data_BaSi2Tc
_symmetry_space_group_name_H-M 'P 4 m m'
_symmetry_Int_Tables_number 99
_cell_length_a 3.313
_cell_length_b 3.313
_cell_length_c 7.454
_cell_angle_alpha 90.00
_cell_angle_beta 90.00
_cell_angle_gamma 90.00
loop_
_symmetry_equiv_pos_as_xyz
'x,y,z'
'-y,x,z'
'-x,-y,z'
'y,-x,z'
'-x,y,z'
'y,x,z'
'x,-y,z'
'-y,-x,z'
loop_
_atom_site_label
_atom_site_type_symbol
_atom_site_fract_x
_atom_site_fract_y
_atom_site_fract_z
_atom_site_occupancy
Ba1 Ba 0.000 0.000 0.000 1
Si1 Si 0.000 0.000 0.530 1
Si2 Si 0.500 0.500 0.329 1
Tc1 Tc 0.500 0.500 0.646 1
```

Values from the calculation:
E_form (uncorrected) (eV/atom): 0.05
Polymorph energy (0 for the lowest one) (meV per atom): 315
Calculated volume (Å³/f.u.): 81.8
Total moment (μB per cell): 0.000
VASP energy (eV per atom): -5.737



[3]
ZrUZnO6 after structural relaxation, computed with PBE.

CIF file:
```
data_ZrUZnO6
_symmetry_space_group_name_H-M 'P -3 1 c'
_symmetry_Int_Tables_number 163
_symmetry_space_group_name_Hall '-P 3 2c'
_cell_length_a 5.3225
_cell_length_b 5.3225
_cell_length_c 9.5165
_cell_angle_alpha 90.00
_cell_angle_beta 90.00
_cell_angle_gamma 120.00
loop_
_atom_site_label
_atom_site_type_symbol
_atom_site_fract_x
_atom_site_fract_y
_atom_site_fract_z
_atom_site_occupancy
Zr1 Zr 0.0000 0.0000 0.0000 1
U1 U 0.3333 0.6667 0.2500 1
Zn1 Zn 0.3333 0.6667 0.7500 1
O1 O 0.0076 0.3333 0.1293 1
```

Values from the calculation:
E_form (uncorrected) (eV/atom): -2.71
Calculated volume (Å³/f.u.): 116.7
Total moment (μB per cell): 0.000
VASP energy (eV per atom): -8.365



[4]
Nd6TeAs3Se2 after structural relaxation, computed with PBE.

CIF file:
```
data_Nd6TeAs3Se2
_symmetry_space_group_name_H-M 'C 1 2/m 1'
_symmetry_Int_Tables_number 12
_cell_length_a 18.822
_cell_length_b 4.285
_cell_length_c 8.648
_cell_angle_alpha 90.00
_cell_angle_beta 104.05
_cell_angle_gamma 90.00
loop_
_symmetry_equiv_pos_as_xyz
'x,y,z'
'-x,-y,-z'
'-x,y,-z'
'x,-y,z'
'x+1/2,y+1/2,z'
'-x+1/2,-y+1/2,-z'
'-x+1/2,y+1/2,-z'
'x+1/2,-y+1/2,z'
loop_
_atom_site_label
_atom_site_type_symbol
_atom_site_fract_x
_atom_site_fract_y
_atom_site_fract_z
_atom_site_occupancy
Nd1 Nd 0.002 0.000 0.232 1
Nd2 Nd 0.165 0.500 0.089 1
Nd3 Nd 0.174 0.500 0.579 1
Te1 Te 0.000 0.500 0.500 1
As1 As 0.000 0.500 0.000 1
As2 As 0.165 0.000 0.332 1
Se1 Se 0.168 0.000 0.834 1
```

Values from the calculation:
E_form (uncorrected) (eV/atom): -1.66
Calculated volume (Å³/f.u.): 338.3
Total moment (μB per cell): 0.000
VASP energy (eV per atom): -6.049